1.
# TbPu2Cu9 PBE optimized geometry
data_TbPu2Cu9
_chemical_formula_sum 'Tb3 Pu6 Cu27'
_cell_length_a 5.1275
_cell_length_b 5.1275
_cell_length_c 25.1535
_cell_angle_alpha 90.00
_cell_angle_beta 90.00
_cell_angle_gamma 120.00
_space_group_name_H-M_alt 'R -3 m'
_space_group_IT_number 166
_space_group_name_Hall '-R 3 2"'
loop_
_atom_site_label
_atom_site_fract_x
_atom_site_fract_y
_atom_site_fract_z
Tb1 0.0000 0.0000 0.0000
Pu1 0.0000 0.0000 0.1472
Cu1 0.0000 0.0000 0.3318
Cu2 0.0000 0.0000 0.5000
Cu3 0.0035 0.5017 0.0807
# DFT total energy = -214.2 eV/cell
# DOS(E_F) = 1.617 states/eV per atom
# calculated formation energy = -104 meV per atom
# magnetic moment = 11.53 μB/f.u.

2.
# Ca3AgAu PBE optimized geometry
data_Ca3AgAu
_chemical_formula_sum 'Ca3 Ag1 Au1'
_cell_length_a 5.635
_cell_length_b 5.635
_cell_length_c 5.635
_cell_angle_alpha 90.00
_cell_angle_beta 90.00
_cell_angle_gamma 90.00
_space_group_name_H-M_alt 'P m -3 m'
_space_group_IT_number 221
_space_group_name_Hall '-P 4 2 3'
loop_
_atom_site_label
_atom_site_fract_x
_atom_site_fract_y
_atom_site_fract_z
Ca1 0.000 0.000 0.500
Ag1 0.500 0.500 0.500
Au1 0.000 0.000 0.000
# DFT total energy = -13.3 eV/cell
# DOS(E_F) = 0.493 states/eV per atom
# calculated formation energy = -224 meV per atom
# magnetic moment = 0.00 μB/f.u.
# relative energy among the computed polymorphs = 22.3 kJ/mol of atoms